# 1
# TiRhCl2

A relaxed TiRhCl2 crystal (PBE-GGA, Alexandria).

Structure (CIF):
```
data_TiRhCl2
_cell_length_a 8.1927
_cell_length_b 8.1927
_cell_length_c 8.1927
_cell_angle_alpha 21.72
_cell_angle_beta 21.72
_cell_angle_gamma 21.72
_space_group_name_H-M_alt 'P 1'
_space_group_IT_number 1
loop_
_space_group_symop_operation_xyz
'x,y,z'
loop_
_atom_site_label
_atom_site_type_symbol
_atom_site_fract_x
_atom_site_fract_y
_atom_site_fract_z
Ti1 Ti 0.0000 0.0000 0.0000
Rh1 Rh 0.5000 0.5000 0.5000
Cl1 Cl 0.4033 0.4033 0.4033
Cl2 Cl 0.5967 0.5967 0.5967
```

Properties
As for the formation energy without anion corrections: -519 meV/atom. The calculation puts the density of states at the Fermi level at 3.642 states/eV/f.u. The value obtained for the magnetic moment is 0.000 μB/f.u. The final energy comes out at -5.254 eV/atom.


# 2
# TiRhCl3

A relaxed TiRhCl3 crystal (PBE-GGA, Alexandria).

Structure (CIF):
```
data_TiRhCl3
_cell_length_a 4.7938
_cell_length_b 4.7938
_cell_length_c 4.7938
_cell_angle_alpha 90.00
_cell_angle_beta 90.00
_cell_angle_gamma 90.00
_space_group_name_H-M_alt 'P 1'
_space_group_IT_number 1
loop_
_space_group_symop_operation_xyz
'x,y,z'
loop_
_atom_site_label
_atom_site_type_symbol
_atom_site_fract_x
_atom_site_fract_y
_atom_site_fract_z
Ti1 Ti 0.0000 0.0000 0.0000
Rh1 Rh 0.5000 0.5000 0.5000
Cl1 Cl 0.0000 0.5000 0.5000
Cl2 Cl 0.5000 0.0000 0.5000
Cl3 Cl 0.5000 0.5000 0.0000
```

Properties
As for the formation energy without anion corrections: 131 meV/atom. The calculation puts the density of states at the Fermi level at 17.779 states/eV/f.u. The value obtained for the magnetic moment is 0.148 μB/f.u. The final energy comes out at -4.026 eV/atom.


# 3
# TiRh2Cl

A relaxed TiRh2Cl crystal (PBE-GGA, Alexandria).

Structure (CIF):
```
data_TiRh2Cl
_cell_length_a 6.6695
_cell_length_b 6.6695
_cell_length_c 6.6695
_cell_angle_alpha 130.73
_cell_angle_beta 130.73
_cell_angle_gamma 72.23
_space_group_name_H-M_alt 'P 1'
_space_group_IT_number 1
loop_
_space_group_symop_operation_xyz
'x,y,z'
loop_
_atom_site_label
_atom_site_type_symbol
_atom_site_fract_x
_atom_site_fract_y
_atom_site_fract_z
Ti1 Ti 0.0000 0.0000 0.0000
Ti2 Ti 0.7500 0.2500 0.5000
Rh1 Rh 0.1181 0.6250 0.9931
Rh2 Rh 0.3750 0.3681 0.4931
Rh3 Rh 0.6319 0.1250 0.0069
Rh4 Rh 0.8750 0.8819 0.5069
Cl1 Cl 0.2500 0.7500 0.5000
Cl2 Cl 0.5000 0.5000 0.0000
```

Properties
As for the formation energy without anion corrections: 172 meV/atom. The calculation puts the density of states at the Fermi level at 2.627 states/eV/f.u. The value obtained for the magnetic moment is 0.000 μB/f.u. The final energy comes out at -5.939 eV/atom.


Repeat the second record exactly.
# TiRhCl3

A relaxed TiRhCl3 crystal (PBE-GGA, Alexandria).

Structure (CIF):
```
data_TiRhCl3
_cell_length_a 4.7938
_cell_length_b 4.7938
_cell_length_c 4.7938
_cell_angle_alpha 90.00
_cell_angle_beta 90.00
_cell_angle_gamma 90.00
_space_group_name_H-M_alt 'P 1'
_space_group_IT_number 1
loop_
_space_group_symop_operation_xyz
'x,y,z'
loop_
_atom_site_label
_atom_site_type_symbol
_atom_site_fract_x
_atom_site_fract_y
_atom_site_fract_z
Ti1 Ti 0.0000 0.0000 0.0000
Rh1 Rh 0.5000 0.5000 0.5000
Cl1 Cl 0.0000 0.5000 0.5000
Cl2 Cl 0.5000 0.0000 0.5000
Cl3 Cl 0.5000 0.5000 0.0000
```

Properties
As for the formation energy without anion corrections: 131 meV/atom. The calculation puts the density of states at the Fermi level at 17.779 states/eV/f.u. The value obtained for the magnetic moment is 0.148 μB/f.u. The final energy comes out at -4.026 eV/atom.